DFT (GGA-PBE) results for a relaxed ZnNi4Pt3 crystal.

## Properties
Raw total energy   -5.46 eV per atom
Total moment   3.0 μB per formula unit

Unit cell a=4.6014 b=5.0646 c=5.2816 alpha=103.88 beta=90.05 gamma=116.96
Space group P1 (No. 1)
Inequivalent atoms, fractional coordinates:
Zn 0.0000 0.0000 0.0000 x1
Ni 0.4082 0.5048 0.3797 x1
Ni 0.4781 0.9939 0.2584 x1
Ni 0.4849 0.0069 0.7422 x1
Ni 0.9035 0.4964 0.6223 x1
Pt 0.4137 0.5197 0.8719 x1
Pt 0.8945 0.4808 0.1301 x1
Pt 0.9793 0.0006 0.5002 x1